Compound: YHg2H
Source: the Alexandria database
Functional: PBE
Structure: optimized geometry

Lattice parameters (Å, degrees): 3.8500 4.6237 8.6137 90.00 90.10 90.00
Positions (direct):
Y 0.2504 0.2500 0.1250
Y 0.7496 0.7500 0.8750
Hg 0.2488 0.2500 0.7499
Hg 0.2506 0.7500 0.5414
Hg 0.7494 0.2500 0.4586
Hg 0.7512 0.7500 0.2501
H 0.2504 0.7500 0.0031
H 0.7496 0.2500 0.9969

Results
E above lowest polymorph ... 0.000 eV per atom
Magnetization ... 0.00 Bohr magnetons per cell
Final energy ... -11.9 eV per formula unit



Compound: CaCdOs2
Source: the Alexandria database
Functional: PBE
Structure: optimized geometry

Lattice parameters (Å, degrees): 2.7917 2.7917 9.2444 90.00 90.00 90.00
Positions (direct):
Ca 0.0000 0.0000 0.0000
Cd 0.0000 0.0000 0.5000
Os 0.5000 0.5000 0.2603
Os 0.5000 0.5000 0.7397

Results
Magnetization ... 1.26 Bohr magnetons per cell
Energy relative to the elements ... 77.1 kJ per mole of atoms
Final energy ... -22.2 eV per formula unit



Compound: Zr2TlNi
Source: the Alexandria database
Functional: PBE
Structure: optimized geometry

Lattice parameters (Å, degrees): 6.1244 6.1244 6.1244 103.58 103.58 122.02
Positions (direct):
Zr 0.0717 0.6250 0.9467
Zr 0.3750 0.3217 0.4467
Zr 0.6783 0.1250 0.0533
Zr 0.8750 0.9283 0.5533
Tl 0.2500 0.7500 0.5000
Tl 0.5000 0.5000 0.0000
Ni 0.0000 0.0000 0.0000
Ni 0.7500 0.2500 0.5000

Results
E above lowest polymorph ... 0.278 eV per atom
Magnetization ... 0.00 Bohr magnetons per cell
Energy relative to the elements ... 9.6 kJ per mole of atoms
Final energy ... -24.8 eV per formula unit



Compound: TcGeAsSe2
Source: the Alexandria database
Functional: PBE
Structure: optimized geometry

Lattice parameters (Å, degrees): 4.9530 4.9530 4.9262 90.00 90.00 90.00
Positions (direct):
Tc 0.0000 0.0000 0.0000
Ge 0.5000 0.5000 0.5000
As 0.5000 0.5000 0.0000
Se 0.0000 0.5000 0.5000
Se 0.5000 0.0000 0.5000

Results
E above lowest polymorph ... 0.561 eV per atom
Magnetization ... 3.43 Bohr magnetons per cell
Final energy ... -21.2 eV per formula unit
Formation energy (no corrections) ... 1.07 eV per atom



Compound: TaTl2F7
Source: the Alexandria database
Functional: PBE
Structure: optimized geometry

Lattice parameters (Å, degrees): 7.9787 7.9787 10.0044 126.11 126.11 53.08
Positions (direct):
Ta 0.0952 0.9048 0.7500
Ta 0.9048 0.0952 0.2500
Tl 0.2594 0.3848 0.2333
Tl 0.3848 0.2594 0.7333
Tl 0.6152 0.7406 0.2667
Tl 0.7406 0.6152 0.7667
F 0.0123 0.6935 0.7209
F 0.0189 0.7602 0.1276
F 0.0598 0.7678 0.4997
F 0.2322 0.9402 0.0003
F 0.2398 0.9811 0.3724
F 0.3065 0.9877 0.7791
F 0.3808 0.6192 0.7500
F 0.6192 0.3808 0.2500
F 0.6935 0.0123 0.2209
F 0.7602 0.0189 0.6276
F 0.7678 0.0598 0.9997
F 0.9402 0.2322 0.5003
F 0.9811 0.2398 0.8724
F 0.9877 0.3065 0.2791

Results
Magnetization ... 0.00 Bohr magnetons per cell
Final energy ... -57.3 eV per formula unit
Formation energy (no corrections) ... -2.76 eV per atom



Compound: ReRhBr4
Source: the Alexandria database
Functional: PBE
Structure: optimized geometry

Lattice parameters (Å, degrees): 6.1059 6.1059 6.1059 60.00 60.00 60.00
Positions (direct):
Re 0.0000 0.0000 0.0000
Rh 0.7500 0.7500 0.7500
Br 0.3752 0.3752 0.3752
Br 0.3752 0.3752 0.8744
Br 0.3752 0.8744 0.3752
Br 0.8744 0.3752 0.3752

Results
Magnetization ... 4.00 Bohr magnetons per cell
Final energy ... -15.3 eV per formula unit
Formation energy (no corrections) ... 1.87 eV per atom



Compound: Y4AlZn
Source: the Alexandria database
Functional: PBE
Structure: optimized geometry

Lattice parameters (Å, degrees): 3.5614 3.5614 12.6662 90.00 90.00 90.00
Positions (direct):
Y 0.0000 0.0000 0.1400
Y 0.0000 0.0000 0.8600
Y 0.5000 0.5000 0.3508
Y 0.5000 0.5000 0.6492
Al 0.0000 0.0000 0.5000
Zn 0.5000 0.5000 0.0000

Results
E above lowest polymorph ... 0.000 eV per atom
Magnetization ... 0.00 Bohr magnetons per cell
Energy relative to the elements ... -23.6 kJ per mole of atoms
Final energy ... -32.3 eV per formula unit



Compound: TlOsCl
Source: the Alexandria database
Functional: PBE
Structure: optimized geometry

Lattice parameters (Å, degrees): 4.4675 4.4675 3.2642 90.00 90.00 120.00
Positions (direct):
Tl 0.0000 0.0000 0.0000
Os 0.3333 0.6667 0.5000
Cl 0.6667 0.3333 0.5000

Results
E above lowest polymorph ... 0.216 eV per atom
Magnetization ... 0.00 Bohr magnetons per cell
Final energy ... -12.5 eV per formula unit
Formation energy (no corrections) ... 0.98 eV per atom



Compound: MgTcAg
Source: the Alexandria database
Functional: PBE
Structure: optimized geometry

Lattice parameters (Å, degrees): 2.8345 2.8345 7.1403 90.00 90.00 120.00
Positions (direct):
Mg 0.0000 0.0000 0.0000
Tc 0.6667 0.3333 0.3235
Ag 0.3333 0.6667 0.6622

Results
E above lowest polymorph ... 0.035 eV per atom
Magnetization ... 0.00 Bohr magnetons per cell
Energy relative to the elements ... 27.1 kJ per mole of atoms
Final energy ... -14.0 eV per formula unit



Compound: Cd2SbAs
Source: the Alexandria database
Functional: PBE
Structure: optimized geometry

Lattice parameters (Å, degrees): 10.1093 10.1093 10.1093 18.92 18.92 18.92
Positions (direct):
Cd 0.0000 0.0000 0.0000
Cd 0.2515 0.2515 0.2515
Sb 0.7515 0.7515 0.7515
As 0.5113 0.5113 0.5113

Results
E above lowest polymorph ... 0.214 eV per atom
Magnetization ... 0.00 Bohr magnetons per cell
Final energy ... -9.6 eV per formula unit
Formation energy (no corrections) ... 0.25 eV per atom



Compound: Mn2CoCl
Source: the Alexandria database
Functional: PBE
Structure: optimized geometry

Lattice parameters (Å, degrees): 3.9870 3.9870 7.2444 116.58 116.58 42.48
Positions (direct):
Mn 0.1322 0.1322 0.3190
Mn 0.8678 0.8678 0.6810
Co 0.5000 0.5000 0.5000
Cl 0.5000 0.5000 0.0000

Results
E above lowest polymorph ... 0.195 eV per atom
Magnetization ... 8.39 Bohr magnetons per cell
Final energy ... -26.4 eV per formula unit
Formation energy (no corrections) ... 0.21 eV per atom



Compound: NpIn2Bi2
Source: the Alexandria database
Functional: PBE
Structure: optimized geometry

Lattice parameters (Å, degrees): 5.1666 5.1666 13.3404 90.00 90.00 120.00
Positions (direct):
Np 0.0000 0.0000 0.2500
Np 0.0000 0.0000 0.7500
In 0.0000 0.0000 0.0000
In 0.0000 0.0000 0.5000
In 0.3333 0.6667 0.2500
In 0.6667 0.3333 0.7500
Bi 0.3333 0.6667 0.6141
Bi 0.3333 0.6667 0.8859
Bi 0.6667 0.3333 0.1141
Bi 0.6667 0.3333 0.3859

Results
Magnetization ... 8.83 Bohr magnetons per cell
Energy relative to the elements ... 22.3 kJ per mole of atoms
Final energy ... -25.0 eV per formula unit



Compound: MnCrCu2
Source: the Alexandria database
Functional: PBE
Structure: optimized geometry

Lattice parameters (Å, degrees): 5.2818 5.2818 5.2818 101.23 101.23 127.64
Positions (direct):
Mn 0.0000 0.0000 0.0000
Mn 0.7500 0.2500 0.5000
Cr 0.2500 0.7500 0.5000
Cr 0.5000 0.5000 0.0000
Cu 0.1156 0.1250 0.4906
Cu 0.3750 0.8844 0.0094
Cu 0.6344 0.6250 0.5094
Cu 0.8750 0.3656 0.9906

Results
Magnetization ... 6.54 Bohr magnetons per cell
Energy relative to the elements ... 78.8 kJ per mole of atoms
Final energy ... -23.7 eV per formula unit



Compound: NaGeBC2
Source: the Alexandria database
Functional: PBE
Structure: optimized geometry

Lattice parameters (Å, degrees): 4.2541 4.2541 4.3845 90.00 90.00 90.00
Positions (direct):
Na 0.0000 0.0000 0.0000
Ge 0.5000 0.5000 0.5000
B 0.0000 0.0000 0.5000
C 0.0000 0.5000 0.0000
C 0.5000 0.0000 0.0000

Results
Magnetization ... 0.02 Bohr magnetons per cell
Energy relative to the elements ... 319.4 kJ per mole of atoms
Final energy ... -14.5 eV per formula unit



Compound: ErTeSe
Source: the Alexandria database
Functional: PBE
Structure: optimized geometry

Lattice parameters (Å, degrees): 4.3161 6.0465 7.7347 67.00 77.27 89.85
Positions (direct):
Er 0.2386 0.1504 0.1982
Er 0.7614 0.8496 0.8018
Te 0.1472 0.6924 0.1226
Te 0.8528 0.3076 0.8774
Se 0.3492 0.7953 0.5636
Se 0.6508 0.2047 0.4364

Results
E above lowest polymorph ... 0.102 eV per atom
Magnetization ... 0.00 Bohr magnetons per cell
Final energy ... -15.0 eV per formula unit
Formation energy (no corrections) ... -1.28 eV per atom



Compound: Li2LaMg
Source: the Alexandria database
Functional: PBE
Structure: optimized geometry

Lattice parameters (Å, degrees): 3.2475 5.3398 6.1275 90.00 94.83 90.00
Positions (direct):
Li 0.1819 0.0000 0.2798
Li 0.8181 0.0000 0.7202
La 0.5000 0.5000 0.0000
Mg 0.0000 0.5000 0.5000

Results
Magnetization ... 0.08 Bohr magnetons per cell
Energy relative to the elements ... 7.8 kJ per mole of atoms
Final energy ... -10.0 eV per formula unit



Compound: AcPm7Pb5
Source: the Alexandria database
Functional: PBE
Structure: optimized geometry

Lattice parameters (Å, degrees): 8.6403 8.6403 8.6403 134.72 97.35 99.70
Positions (direct):
Ac 0.0000 0.0000 0.0000
Pm 0.1559 0.4737 0.6822
Pm 0.2184 0.7184 0.5000
Pm 0.3312 0.9886 0.3427
Pm 0.3486 0.3486 0.0000
Pm 0.6459 0.9886 0.6573
Pm 0.6568 0.6568 0.0000
Pm 0.7915 0.4737 0.3178
Pb 0.4717 0.4817 0.4918
Pb 0.4717 0.9799 0.9900
Pb 0.7410 0.2410 0.5000
Pb 0.9898 0.4817 0.0100
Pb 0.9898 0.9799 0.5082

Results
Magnetization ... 0.00 Bohr magnetons per cell
Energy relative to the elements ... -33.2 kJ per mole of atoms
Final energy ... -60.4 eV per formula unit



Compound: Pm2GaSnPt6
Source: the Alexandria database
Functional: PBE
Structure: optimized geometry

Lattice parameters (Å, degrees): 5.5159 6.6714 6.7749 77.76 66.02 65.66
Positions (direct):
Pm 0.0275 0.2179 0.2270
Pm 0.9725 0.7821 0.7730
Ga 0.5000 0.0000 0.5000
Sn 0.5000 0.5000 0.0000
Pt 0.0087 0.2219 0.7632
Pt 0.3406 0.4109 0.4194
Pt 0.4972 0.7819 0.2311
Pt 0.5028 0.2181 0.7689
Pt 0.6594 0.5891 0.5806
Pt 0.9913 0.7781 0.2368

Results
Magnetization ... 0.00 Bohr magnetons per cell
Energy relative to the elements ... -74.4 kJ per mole of atoms
Final energy ... -60.5 eV per formula unit



Compound: La2BiAu2
Source: the Alexandria database
Functional: PBE
Structure: optimized geometry

Lattice parameters (Å, degrees): 6.4141 6.4141 6.4141 128.72 128.72 75.45
Positions (direct):
La 0.2500 0.7500 0.5000
La 0.7500 0.2500 0.5000
Bi 0.0000 0.0000 0.0000
Au 0.3693 0.3693 0.0000
Au 0.6307 0.6307 0.0000

Results
E above lowest polymorph ... 0.251 eV per atom
Magnetization ... 0.00 Bohr magnetons per cell
Energy relative to the elements ... -59.4 kJ per mole of atoms
Final energy ... -23.4 eV per formula unit



Compound: ScBeAl2Au5
Source: the Alexandria database
Functional: PBE
Structure: optimized geometry

Lattice parameters (Å, degrees): 7.5561 7.5561 7.5561 146.23 134.96 57.46
Positions (direct):
Sc 0.0000 0.0000 0.0000
Be 0.5000 0.5000 0.0000
Al 0.3040 0.8040 0.5000
Al 0.6960 0.1960 0.5000
Au 0.1004 0.3599 0.7405
Au 0.3806 0.6401 0.7405
Au 0.5000 0.0000 0.5000
Au 0.6194 0.3599 0.2595
Au 0.8996 0.6401 0.2595

Results
Magnetization ... 0.00 Bohr magnetons per cell
Energy relative to the elements ... -26.2 kJ per mole of atoms
Final energy ... -36.4 eV per formula unit